VASP calculation (PBE with a Hubbard U) on crystalline V2Se2O11 at its relaxed geometry.

extended XYZ file:
```
30
Lattice="8.328 -0.005 -0.083 6.391 5.340 -0.083 3.439 1.246 9.511" Properties=species:S:1:pos:R:3 pbc="T T T"
V 15.853 5.187 7.438
V 4.383 1.030 6.664
V 13.776 5.550 2.682
V 2.306 1.394 1.908
O 11.803 5.271 2.587
O 14.179 4.414 3.730
O 11.163 4.910 5.257
O 11.551 4.642 8.131
O 15.435 6.317 8.486
O 8.036 3.369 5.970
O 9.997 2.758 0.501
O 10.123 3.212 3.376
O 8.162 3.822 8.844
O 4.000 2.443 2.003
O 6.356 1.310 6.759
O 14.159 4.138 7.343
O 3.980 2.166 5.615
O 15.226 6.075 5.772
O 9.208 5.620 7.051
O 2.724 0.263 0.860
O 8.951 0.961 2.295
O 6.996 1.671 4.089
O 6.608 1.938 1.214
O 4.296 2.114 8.329
O 2.933 0.506 3.574
O 13.863 4.467 1.016
Se 7.551 1.833 5.680
Se 10.608 4.748 3.665
Se 5.252 2.807 0.925
Se 12.907 3.774 8.421
```

Properties
* SG: C2/c, No. 15
* total DFT energy (no corrections): -6.164 eV/atom
* D(E_F): 0.00 states/eV/f.u.